Pm6Te3Ir2Se | PBE | relaxed

Calculated values
Mass density = 8.14 Mg/m³
DOS(E_F) = 4.3 states/eV per cell
Uncorrected formation energy = -1264 meV per atom
SG = C2/m, No. 12

```
Pm6Te3Ir2Se
1.0
-1.276 -0.489 4.020
-1.506 -8.660 -1.532
9.768 0.940 0.972
Pm Te Ir Se
6 3 2 1
Direct
0.332 0.875 0.663 Pm
0.676 0.564 0.351 Pm
0.668 0.125 0.337 Pm
0.016 0.248 0.032 Pm
0.984 0.752 0.968 Pm
0.324 0.436 0.649 Pm
0.500 0.500 0.000 Te
0.840 0.158 0.681 Te
0.160 0.842 0.319 Te
0.832 0.661 0.664 Ir
0.168 0.339 0.336 Ir
0.500 0.000 0.000 Se
```